Density functional theory data (PBE-GGA) for crystalline Sr2ScBe at its relaxed geometry.

Geometry as extended XYZ:
```
4
Lattice="3.706 0.000 0.000 0.000 3.706 0.000 0.000 0.000 9.185" Properties=species:S:1:pos:R:3 pbc="T T T"
Sr 0.000 0.000 1.856
Sr 0.000 0.000 7.329
Sc 1.853 1.853 4.592
Be 1.853 1.853 0.000
```

M_tot in Bohr magnetons per cell: 1.19
Theoretical density in g cm⁻³: 3.02
Formation energy from the elements in eV/atom: 0.48
Electronic total energy in eV/atom: -2.876